DFT (PBE) results for a relaxed LiTmAu crystal.

Energy = -0.12584 Ha/atom
Magnetic moment = 0.009 μB per formula unit
Distance to the lowest polymorph of the same formula = 0 meV/atom
Space group = F-43m (216)

```
data_LiTmAu
_symmetry_space_group_name_H-M 'P 1'
_symmetry_Int_Tables_number 1
_cell_length_a 4.445
_cell_length_b 4.445
_cell_length_c 4.445
_cell_angle_alpha 60.00
_cell_angle_beta 60.00
_cell_angle_gamma 60.00
loop_
_symmetry_equiv_pos_as_xyz
'x,y,z'
loop_
_atom_site_label
_atom_site_fract_x
_atom_site_fract_y
_atom_site_fract_z
Li1 0.000 0.000 0.000
Tm1 0.250 0.250 0.250
Au1 0.750 0.750 0.750
```